# 1
LiCaBe2 | the Alexandria database | meta-GGA SCAN | PBEsol geometry; total magnetization = 0.0020 μB per atom; energy of formation = 60.0 kJ/mol of atoms; energy above the most stable polymorph in this dataset = 299 meV per atom; DOS at the Fermi energy = 2.8 states/eV/f.u.; SG = P4/mmm
1.0
4.290 0.000 0.000
0.000 4.290 0.000
0.000 0.000 3.900
Li Ca Be
1 1 2
direct
0.000 0.000 0.000
0.500 0.500 0.000
0.000 0.500 0.500
0.500 0.000 0.500

=====

# 2
RbBa2AsCl | the Alexandria database | meta-GGA SCAN | PBEsol geometry; total magnetization = 0.0005 μB per atom; ΔE_f (raw) = -0.97 eV per atom; DOS at the Fermi energy = 1.7 states/eV/f.u.; SG = P4/mmm
1.0
6.244 0.000 0.000
0.000 6.244 0.000
0.000 0.000 6.688
Rb Ba As Cl
1 2 1 1
direct
0.000 0.000 0.000
0.000 0.500 0.500
0.500 0.000 0.500
0.000 0.000 0.500
0.500 0.500 0.000

=====

# 3
NbBi4BrO8 | the Alexandria database | meta-GGA SCAN | PBEsol geometry; total magnetization = 0.0000 μB per atom; ΔE_f (raw) = -1.59 eV per atom; DOS at the Fermi energy = 0.0 states/eV/f.u.; SG = Pbcn
1.0
5.511 0.000 0.000
0.000 5.557 0.000
0.000 0.000 28.952
Nb Bi Br O
4 16 4 32
direct
0.000 0.008 0.250
0.000 0.992 0.750
0.500 0.492 0.750
0.500 0.508 0.250
0.008 0.007 0.570
0.008 0.993 0.070
0.017 0.453 0.341
0.017 0.547 0.841
0.483 0.047 0.841
0.483 0.953 0.341
0.492 0.493 0.070
0.492 0.507 0.570
0.508 0.493 0.430
0.508 0.507 0.930
0.517 0.047 0.659
0.517 0.953 0.159
0.983 0.453 0.159
0.983 0.547 0.659
0.992 0.007 0.930
0.992 0.993 0.430
0.000 0.500 0.000
0.000 0.500 0.500
0.500 0.000 0.000
0.500 0.000 0.500
0.105 0.076 0.314
0.105 0.924 0.814
0.247 0.297 0.233
0.247 0.703 0.733
0.249 0.243 0.109
0.249 0.254 0.393
0.249 0.746 0.893
0.249 0.757 0.609
0.251 0.246 0.893
0.251 0.257 0.609
0.251 0.743 0.109
0.251 0.754 0.393
0.253 0.203 0.733
0.253 0.797 0.233
0.395 0.424 0.814
0.395 0.576 0.314
0.605 0.424 0.686
0.605 0.576 0.186
0.747 0.203 0.767
0.747 0.797 0.267
0.749 0.246 0.607
0.749 0.257 0.891
0.749 0.743 0.391
0.749 0.754 0.107
0.751 0.243 0.391
0.751 0.254 0.107
0.751 0.746 0.607
0.751 0.757 0.891
0.753 0.297 0.267
0.753 0.703 0.767
0.895 0.076 0.186
0.895 0.924 0.686

=====

# 4
LiFeOs2 | the Alexandria database | meta-GGA SCAN | PBEsol geometry; total magnetization = 0.5372 μB per atom; energy of formation = 22.8 kJ/mol of atoms; DOS at the Fermi energy = 2.6 states/eV/f.u.; SG = Fm-3m
1.0
5.769 0.000 0.000
0.000 5.769 0.000
0.000 0.000 5.769
Li Fe Os
4 4 8
direct
0.000 0.000 0.000
0.000 0.500 0.500
0.500 0.000 0.500
0.500 0.500 0.000
0.000 0.000 0.500
0.000 0.500 0.000
0.500 0.000 0.000
0.500 0.500 0.500
0.250 0.250 0.250
0.250 0.250 0.750
0.250 0.750 0.250
0.250 0.750 0.750
0.750 0.250 0.250
0.750 0.250 0.750
0.750 0.750 0.250
0.750 0.750 0.750

=====

# 5
LaCu2Ir | the Alexandria database | meta-GGA SCAN | PBEsol geometry; total magnetization = 0.0980 μB per atom; energy of formation = 5.9 kJ/mol of atoms; energy above the most stable polymorph in this dataset = 336 meV per atom; DOS at the Fermi energy = 1.4 states/eV/f.u.; SG = P4/mmm
1.0
3.470 0.000 0.000
0.000 3.470 0.000
0.000 0.000 5.639
La Cu Ir
1 2 1
direct
0.000 0.000 0.000
0.500 0.500 0.295
0.500 0.500 0.705
0.000 0.000 0.500

=====

# 6
KLaIn2Au | the Alexandria database | meta-GGA SCAN | PBEsol geometry; total magnetization = 0.0000 μB per atom; energy of formation = 85.9 kJ/mol of atoms; DOS at the Fermi energy = 5.8 states/eV/f.u.; SG = P4/mmm
1.0
5.854 0.000 0.000
0.000 5.854 0.000
0.000 0.000 6.618
K La In Au
1 1 2 1
direct
0.000 0.000 0.000
0.000 0.000 0.500
0.000 0.500 0.500
0.500 0.000 0.500
0.500 0.500 0.000

=====

# 7
TiCuTeF2 | the Alexandria database | meta-GGA SCAN | PBEsol geometry; total magnetization = 0.2109 μB per atom; ΔE_f (raw) = -1.84 eV per atom; DOS at the Fermi energy = 2.7 states/eV/f.u.; SG = P4/mmm
1.0
3.861 0.000 0.000
0.000 3.861 0.000
0.000 0.000 5.673
Ti Cu Te F
1 1 1 2
direct
0.000 0.000 0.000
0.500 0.500 0.500
0.000 0.000 0.500
0.000 0.500 0.000
0.500 0.000 0.000

=====

# 8
TlZnIn2 | the Alexandria database | meta-GGA SCAN | PBEsol geometry; total magnetization = 0.0000 μB per atom; energy of formation = 14.0 kJ/mol of atoms; DOS at the Fermi energy = 1.8 states/eV/f.u.; SG = C2/m
1.0
11.831 0.000 0.000
0.000 3.331 0.000
-2.197 0.000 4.795
Tl Zn In
2 2 4
direct
0.000 0.000 0.000
0.500 0.500 0.000
0.000 0.500 0.500
0.500 0.000 0.500
0.220 0.000 0.722
0.280 0.500 0.278
0.720 0.500 0.722
0.780 0.000 0.278

=====

# 9
KTa2Rh | the Alexandria database | meta-GGA SCAN | PBEsol geometry; total magnetization = 0.0000 μB per atom; energy of formation = 116.5 kJ/mol of atoms; energy above the most stable polymorph in this dataset = 705 meV per atom; DOS at the Fermi energy = 4.0 states/eV/f.u.; SG = F-43m
1.0
6.646 0.000 0.000
0.000 6.646 0.000
0.000 0.000 6.646
K Ta Rh
4 8 4
direct
0.000 0.000 0.000
0.000 0.500 0.500
0.500 0.000 0.500
0.500 0.500 0.000
0.000 0.000 0.500
0.000 0.500 0.000
0.250 0.250 0.250
0.250 0.750 0.750
0.500 0.000 0.000
0.500 0.500 0.500
0.750 0.250 0.750
0.750 0.750 0.250
0.250 0.250 0.750
0.250 0.750 0.250
0.750 0.250 0.250
0.750 0.750 0.750

=====

# 10
In2AgCl | the Alexandria database | meta-GGA SCAN | PBEsol geometry; total magnetization = 0.0000 μB per atom; energy above the most stable polymorph in this dataset = 133 meV per atom; ΔE_f (raw) = -0.13 eV per atom; DOS at the Fermi energy = 0.5 states/eV/f.u.; SG = Fm-3m
1.0
7.170 0.000 0.000
0.000 7.170 0.000
0.000 0.000 7.170
In Ag Cl
8 4 4
direct
0.250 0.250 0.250
0.250 0.250 0.750
0.250 0.750 0.250
0.250 0.750 0.750
0.750 0.250 0.250
0.750 0.250 0.750
0.750 0.750 0.250
0.750 0.750 0.750
0.000 0.000 0.000
0.000 0.500 0.500
0.500 0.000 0.500
0.500 0.500 0.000
0.000 0.000 0.500
0.000 0.500 0.000
0.500 0.000 0.000
0.500 0.500 0.500

=====

# 11
LaAg4 | the Alexandria database | meta-GGA SCAN | PBEsol geometry; total magnetization = 0.0000 μB per atom; energy of formation = -15.9 kJ/mol of atoms; DOS at the Fermi energy = 2.2 states/eV/f.u.; SG = I4/mmm
1.0
4.102 0.000 0.000
0.000 4.102 0.000
0.000 0.000 12.681
La Ag
2 8
direct
0.000 0.000 0.000
0.500 0.500 0.500
0.000 0.000 0.394
0.000 0.000 0.606
0.000 0.500 0.250
0.000 0.500 0.750
0.500 0.000 0.250
0.500 0.000 0.750
0.500 0.500 0.106
0.500 0.500 0.894

=====

# 12
MgTa2N3 | the Alexandria database | meta-GGA SCAN | PBEsol geometry; total magnetization = 0.0000 μB per atom; ΔE_f (raw) = -1.38 eV per atom; DOS at the Fermi energy = 0.0 states/eV/f.u.; SG = P6_3/mcm
1.0
5.200 0.000 0.000
-2.600 4.503 0.000
0.000 0.000 10.393
Mg Ta N
4 8 12
direct
0.333 0.667 0.000
0.333 0.667 0.500
0.667 0.333 0.000
0.667 0.333 0.500
0.000 0.000 0.000
0.000 0.000 0.500
0.000 0.336 0.250
0.000 0.664 0.750
0.336 0.000 0.250
0.336 0.336 0.750
0.664 0.000 0.750
0.664 0.664 0.250
0.000 0.330 0.621
0.000 0.330 0.879
0.000 0.670 0.121
0.000 0.670 0.379
0.330 0.000 0.621
0.330 0.000 0.879
0.330 0.330 0.121
0.330 0.330 0.379
0.670 0.000 0.121
0.670 0.000 0.379
0.670 0.670 0.621
0.670 0.670 0.879

=====

# 13
SiSbPb | the Alexandria database | meta-GGA SCAN | PBEsol geometry; total magnetization = 0.0000 μB per atom; energy above the most stable polymorph in this dataset = 247 meV per atom; ΔE_f (raw) = 0.76 eV per atom; DOS at the Fermi energy = 1.3 states/eV/f.u.; SG = F-43m
1.0
7.040 0.000 0.000
0.000 7.040 0.000
0.000 0.000 7.040
Si Sb Pb
4 4 4
direct
0.000 0.000 0.000
0.000 0.500 0.500
0.500 0.000 0.500
0.500 0.500 0.000
0.000 0.000 0.500
0.000 0.500 0.000
0.500 0.000 0.000
0.500 0.500 0.500
0.250 0.250 0.750
0.250 0.750 0.250
0.750 0.250 0.250
0.750 0.750 0.750

=====

# 14
MgBBr2 | the Alexandria database | meta-GGA SCAN | PBEsol geometry; total magnetization = 0.0001 μB per atom; energy above the most stable polymorph in this dataset = 0 meV per atom; ΔE_f (raw) = 0.19 eV per atom; DOS at the Fermi energy = 1.2 states/eV/f.u.; SG = R-3m
1.0
3.642 0.000 0.000
-1.821 3.154 0.000
0.000 0.000 25.948
Mg B Br
3 3 6
direct
0.000 0.000 0.000
0.333 0.667 0.667
0.667 0.333 0.333
0.000 0.000 0.500
0.333 0.667 0.167
0.667 0.333 0.833
0.000 0.000 0.394
0.000 0.000 0.606
0.333 0.667 0.061
0.333 0.667 0.272
0.667 0.333 0.728
0.667 0.333 0.939

=====

# 15
KCuSe2 | the Alexandria database | meta-GGA SCAN | PBEsol geometry; total magnetization = 0.0000 μB per atom; ΔE_f (raw) = -0.66 eV per atom; DOS at the Fermi energy = 1.1 states/eV/f.u.; SG = P2/m
1.0
4.897 0.000 0.000
0.000 3.721 0.000
-0.016 0.000 5.795
K Cu Se
1 1 2
direct
0.000 0.000 0.000
0.500 0.000 0.500
0.499 0.500 0.751
0.501 0.500 0.249

=====

# 16
CaAlMo2 | the Alexandria database | meta-GGA SCAN | PBEsol geometry; total magnetization = 0.0000 μB per atom; energy of formation = 53.6 kJ/mol of atoms; DOS at the Fermi energy = 2.5 states/eV/f.u.; SG = R-3m
1.0
2.862 0.000 0.000
-1.431 2.479 0.000
0.000 0.000 29.338
Ca Al Mo
3 3 6
direct
0.000 0.000 0.000
0.333 0.667 0.667
0.667 0.333 0.333
0.000 0.000 0.500
0.333 0.667 0.167
0.667 0.333 0.833
0.000 0.000 0.242
0.000 0.000 0.758
0.333 0.667 0.425
0.333 0.667 0.908
0.667 0.333 0.092
0.667 0.333 0.575

=====

# 17
CeGa6 | the Alexandria database | meta-GGA SCAN | PBEsol geometry; total magnetization = 0.1242 μB per atom; energy of formation = -35.4 kJ/mol of atoms; DOS at the Fermi energy = 3.0 states/eV/f.u.; SG = P4/nbm
1.0
5.881 0.000 0.000
0.000 5.881 0.000
0.000 0.000 7.591
Ce Ga
2 12
direct
0.250 0.750 0.000
0.750 0.250 0.000
0.067 0.567 0.352
0.067 0.933 0.648
0.250 0.250 0.161
0.250 0.250 0.839
0.433 0.567 0.648
0.433 0.933 0.352
0.567 0.067 0.648
0.567 0.433 0.352
0.750 0.750 0.161
0.750 0.750 0.839
0.933 0.067 0.352
0.933 0.433 0.648

=====

# 18
NaSb2TeAu | the Alexandria database | meta-GGA SCAN | PBEsol geometry; total magnetization = 0.1176 μB per atom; ΔE_f (raw) = 0.19 eV per atom; DOS at the Fermi energy = 3.5 states/eV/f.u.; SG = P4/mmm
1.0
5.330 0.000 0.000
0.000 5.330 0.000
0.000 0.000 5.659
Na Sb Te Au
1 2 1 1
direct
0.000 0.000 0.000
0.000 0.500 0.500
0.500 0.000 0.500
0.500 0.500 0.000
0.500 0.500 0.500

=====

# 19
Zr3TiO | the Alexandria database | meta-GGA SCAN | PBEsol geometry; total magnetization = 0.0000 μB per atom; ΔE_f (raw) = -1.18 eV per atom; DOS at the Fermi energy = 4.2 states/eV/f.u.; SG = Pm-3m
1.0
4.429 0.000 0.000
0.000 4.429 0.000
0.000 0.000 4.429
Zr Ti O
3 1 1
direct
0.000 0.000 0.500
0.000 0.500 0.000
0.500 0.000 0.000
0.500 0.500 0.500
0.000 0.000 0.000

=====

# 20
TlZnAu | the Alexandria database | meta-GGA SCAN | PBEsol geometry; total magnetization = 0.0000 μB per atom; energy of formation = 0.4 kJ/mol of atoms; DOS at the Fermi energy = 0.8 states/eV/f.u.; SG = Imm2
1.0
3.050 0.000 0.000
0.000 3.647 0.000
0.000 0.000 10.853
Tl Zn Au
2 2 2
direct
0.000 0.000 0.000
0.500 0.500 0.500
0.000 0.000 0.298
0.500 0.500 0.798
0.000 0.000 0.697
0.500 0.500 0.197

=====

# 21
Si3IO | the Alexandria database | meta-GGA SCAN | PBEsol geometry; total magnetization = 0.3841 μB per atom; ΔE_f (raw) = 2.28 eV per atom; DOS at the Fermi energy = 2.7 states/eV/f.u.; SG = Pm-3m
1.0
5.275 0.000 0.000
0.000 5.275 0.000
0.000 0.000 5.275
Si I O
3 1 1
direct
0.000 0.000 0.500
0.000 0.500 0.000
0.500 0.000 0.000
0.000 0.000 0.000
0.500 0.500 0.500

=====

# 22
PtSe2F | the Alexandria database | meta-GGA SCAN | PBEsol geometry; total magnetization = 0.0000 μB per atom; energy above the most stable polymorph in this dataset = 0 meV per atom; ΔE_f (raw) = -0.60 eV per atom; DOS at the Fermi energy = 1.1 states/eV/f.u.; SG = R-3m
1.0
3.801 0.000 0.000
-1.900 3.292 0.000
0.000 0.000 20.533
Pt Se F
3 6 3
direct
0.000 0.000 0.000
0.333 0.667 0.667
0.667 0.333 0.333
0.000 0.000 0.393
0.000 0.000 0.607
0.333 0.667 0.060
0.333 0.667 0.273
0.667 0.333 0.727
0.667 0.333 0.940
0.000 0.000 0.500
0.333 0.667 0.167
0.667 0.333 0.833

=====

# 23
Mn4Cu | the Alexandria database | meta-GGA SCAN | PBEsol geometry; total magnetization = 0.0417 μB per atom; energy of formation = 17.5 kJ/mol of atoms; DOS at the Fermi energy = 4.8 states/eV/f.u.; SG = R-3m
1.0
2.449 0.000 0.000
-1.225 2.121 0.000
0.000 0.000 30.477
Mn Cu
12 3
direct
0.000 0.000 0.096
0.000 0.000 0.299
0.000 0.000 0.701
0.000 0.000 0.904
0.333 0.667 0.367
0.333 0.667 0.571
0.333 0.667 0.763
0.333 0.667 0.966
0.667 0.333 0.034
0.667 0.333 0.237
0.667 0.333 0.429
0.667 0.333 0.633
0.000 0.000 0.500
0.333 0.667 0.167
0.667 0.333 0.833

=====

# 24
MoPtPb | the Alexandria database | meta-GGA SCAN | PBEsol geometry; total magnetization = 0.0000 μB per atom; energy of formation = 38.1 kJ/mol of atoms; DOS at the Fermi energy = 1.8 states/eV/f.u.; SG = P3m1
1.0
3.012 0.000 0.000
-1.506 2.609 0.000
0.000 0.000 6.980
Mo Pt Pb
1 1 1
direct
0.000 0.000 0.000
0.667 0.333 0.286
0.333 0.667 0.645

=====

# 25
LaGd3 | the Alexandria database | meta-GGA SCAN | PBEsol geometry; total magnetization = 6.1349 μB per atom; energy of formation = 1.2 kJ/mol of atoms; energy above the most stable polymorph in this dataset = 0 meV per atom; DOS at the Fermi energy = 2.7 states/eV/f.u.; SG = P6_3/mmc
1.0
7.171 0.000 0.000
-3.585 6.210 0.000
0.000 0.000 5.738
La Gd
2 6
direct
0.333 0.667 0.250
0.667 0.333 0.750
0.165 0.331 0.750
0.165 0.835 0.750
0.331 0.165 0.250
0.669 0.835 0.750
0.835 0.165 0.250
0.835 0.669 0.250